(1)
Below is CuTc3Hg after structural relaxation, with properties calculated at the PBE level.

Summary:
The energy above the most stable polymorph in this dataset comes out at 0.000 eV/atom. The crystal system is cubic.

```
CuTc3Hg
1.0
4.506 0.000 0.000
0.000 4.506 0.000
0.000 0.000 4.506
Tc Cu Hg
3 1 1
Direct
0.500 0.000 0.000
0.000 0.500 0.000
0.000 0.000 0.500
0.000 0.000 0.000
0.500 0.500 0.500
```

***

(2)
Below is CuTcHg2 after structural relaxation, with properties calculated at the PBE level.

Summary:
The energy above the most stable polymorph in this dataset comes out at 0.379 eV/atom. The crystal system is tetragonal.

```
CuTcHg2
1.0
4.055 0.000 0.000
0.000 4.055 0.000
2.027 2.027 9.686
Tc Hg Cu
2 4 2
Direct
0.000 0.000 0.000
0.750 0.250 0.500
0.375 0.380 0.750
0.130 0.625 0.250
0.875 0.870 0.750
0.620 0.125 0.250
0.250 0.750 0.500
0.500 0.500 0.000
```

***

(3)
Below is CuTcHg2 after structural relaxation, with properties calculated at the PBE level.

Summary:
The energy above the most stable polymorph in this dataset comes out at 0.082 eV/atom. The crystal system is orthorhombic.

```
CuTcHg2
1.0
-2.786 -0.510 -0.242
1.162 -2.410 0.961
-1.238 2.766 8.434
Cu Hg Tc
1 2 1
Direct
0.500 0.500 0.750
0.000 0.000 0.989
0.000 0.000 0.511
0.500 0.500 0.250
```

***

(4)
Below is Cu2TcHg after structural relaxation, with properties calculated at the PBE level.

Summary:
The value obtained for the total DFT energy (no corrections) is -4.24 eV per atom. The crystal system is tetragonal.

```
Cu2TcHg
1.0
-1.243 -4.258 -1.158
2.126 0.476 -4.033
2.384 -1.005 1.138
Cu Tc Hg
2 1 1
Direct
0.500 0.500 0.000
0.000 0.000 0.000
0.000 0.500 0.500
0.500 0.000 0.500
```

***

(5)
Below is Cu2TcHg after structural relaxation, with properties calculated at the PBE level.

Summary:
The value obtained for the total DFT energy (no corrections) is -4.35 eV per atom. The crystal system is tetragonal.

```
Cu2TcHg
1.0
2.834 0.017 0.000
-0.017 2.834 0.000
0.000 0.000 7.402
Cu Tc Hg
2 1 1
Direct
0.500 0.500 0.216
0.000 0.000 0.012
0.500 0.500 0.785
0.000 0.000 0.487
```

***

(6)
Below is Cu2TcHg after structural relaxation, with properties calculated at the PBE level.

Summary:
The value obtained for the total DFT energy (no corrections) is -4.18 eV per atom. The crystal system is tetragonal.

```
Cu2TcHg
1.0
-1.345 0.828 4.465
-3.477 -3.081 0.923
4.328 -0.760 -1.767
Cu Hg Tc
2 1 1
Direct
0.000 0.000 0.000
0.250 0.750 0.500
0.500 0.500 0.000
0.750 0.250 0.500
```

***

(7)
Below is Cu2TcHg after structural relaxation, with properties calculated at the PBE level.

Summary:
The value obtained for the total DFT energy (no corrections) is -4.29 eV per atom. The crystal system is trigonal.

```
Cu2TcHg
1.0
-4.762 -0.262 -7.689
-2.401 -1.489 -8.595
-4.380 -3.023 -7.317
Cu Tc Hg
2 1 1
Direct
0.998 0.998 0.998
0.258 0.258 0.258
0.742 0.742 0.742
0.503 0.503 0.503
```

***

(8)
Below is Cu2TcHg after structural relaxation, with properties calculated at the PBE level.

Summary:
The value obtained for the total DFT energy (no corrections) is -3.90 eV per atom. The crystal system is tetragonal.

```
Cu2TcHg
1.0
-1.602 0.051 6.861
3.751 -5.893 0.919
3.287 -1.434 4.396
Hg Tc Cu
2 2 4
Direct
0.000 0.000 0.000
0.750 0.250 0.500
0.250 0.750 0.500
0.500 0.500 0.000
0.137 0.625 0.250
0.613 0.125 0.250
0.375 0.387 0.750
0.875 0.863 0.750
```

***

(9)
Below is Cu2TcHg after structural relaxation, with properties calculated at the PBE level.

Summary:
The value obtained for the total DFT energy (no corrections) is -4.30 eV per atom. The crystal system is orthorhombic.

```
Cu2TcHg
1.0
-4.624 -0.094 -1.614
1.240 -4.460 1.602
-0.857 0.631 2.420
Tc Cu Hg
1 2 1
Direct
0.000 0.500 0.500
0.000 0.000 0.000
0.500 0.500 0.000
0.500 0.000 0.500
```

***

(10)
Below is CuTcHg2 after structural relaxation, with properties calculated at the PBE level.

Summary:
The energy above the most stable polymorph in this dataset comes out at 0.143 eV/atom. The crystal system is tetragonal.

```
CuTcHg2
1.0
-0.658 3.413 -3.405
-4.735 1.013 0.475
3.367 -0.041 3.512
Hg Cu Tc
2 1 1
Direct
0.000 0.000 0.000
0.500 0.500 0.000
0.750 0.250 0.500
0.250 0.750 0.500
```

***

(11)
Below is Cu2TcHg after structural relaxation, with properties calculated at the PBE level.

Summary:
The value obtained for the total DFT energy (no corrections) is -4.19 eV per atom. The crystal system is orthorhombic.

```
Cu2TcHg
1.0
-1.231 0.401 -2.504
-4.285 -0.470 2.031
-0.123 4.489 0.779
Cu Hg Tc
2 1 1
Direct
0.500 0.500 0.000
0.000 0.000 0.000
0.500 0.000 0.500
0.000 0.500 0.500
```

***

(12)
Below is Cu2TcHg after structural relaxation, with properties calculated at the PBE level.

Summary:
The value obtained for the total DFT energy (no corrections) is -4.30 eV per atom. The crystal system is monoclinic.

```
Cu2TcHg
1.0
5.244 0.138 0.524
4.502 2.693 0.524
1.515 0.440 4.599
Cu Tc Hg
2 1 1
Direct
0.006 0.006 0.072
0.738 0.738 0.688
0.260 0.260 0.165
0.496 0.496 0.574
```